## P
Below is a geometry-optimized Li3AlCr structure, with properties calculated at the PBE level.

Results
Fermi-level density of states: 8.8 states/eV per cell
SG: No. 221

Lattice parameters (Å, degrees): 4.653 4.653 4.653 90.00 90.00 90.00
Positions (direct):
Li 0.000 0.000 0.500
Li 0.000 0.500 0.000
Li 0.500 0.000 0.000
Al 0.000 0.000 0.000
Cr 0.500 0.500 0.500

***

## Q
Below is a geometry-optimized Li3AlCr structure, with properties calculated at the PBE level.

Results
Fermi-level density of states: 2.3 states/eV per cell
SG: No. 221

Lattice parameters (Å, degrees): 4.795 4.795 4.795 90.00 90.00 90.00
Positions (direct):
Li 0.000 0.000 0.500
Li 0.000 0.500 0.000
Li 0.500 0.000 0.000
Al 0.500 0.500 0.500
Cr 0.000 0.000 0.000

***

Which structure wins on stability? Q wins.

***

## P
Below is a geometry-optimized MgAlCr3 structure, with properties calculated at the PBE level.

Results
Fermi-level density of states: 3.3 states/eV per cell
SG: No. 221

Lattice parameters (Å, degrees): 4.748 4.748 4.748 90.00 90.00 90.00
Positions (direct):
Mg 0.000 0.000 0.000
Al 0.500 0.500 0.500
Cr 0.000 0.000 0.500
Cr 0.000 0.500 0.000
Cr 0.500 0.000 0.000

***

## Q
Below is a geometry-optimized MgAlCr3 structure, with properties calculated at the PBE level.

Results
Fermi-level density of states: 4.2 states/eV per cell
SG: No. 221

Lattice parameters (Å, degrees): 4.766 4.766 4.766 90.00 90.00 90.00
Positions (direct):
Mg 0.000 0.000 0.000
Al 0.500 0.500 0.500
Cr 0.000 0.500 0.500
Cr 0.500 0.000 0.500
Cr 0.500 0.500 0.000

***

Which structure wins on stability? Q wins.